# 1
Compound: ZrB2Pd
Source: the Alexandria database
Functional: PBE-GGA
Structure: relaxed

a = 3.8985 Å, b = 3.8985 Å, c = 7.8139 Å
α = 75.55°, β = 75.55°, γ = 90.00°
Positions (direct):
Zr  0.5000  0.5000  0.0000
Zr  0.2500  0.7500  0.5000
Pd  0.0000  0.0000  0.0000
Pd  0.7500  0.2500  0.5000
B  0.8750  0.1254  0.7500
B  0.8754  0.1250  0.2500
B  0.3750  0.1246  0.7500
B  0.8746  0.6250  0.2500

Calculated values
ρ ... 6.553 g/cm³
Calculated formation energy ... 0.046 eV/atom

---

# 2
Compound: MnGaPd5
Source: the Alexandria database
Functional: PBE-GGA
Structure: relaxed

a = 7.1880 Å, b = 7.1880 Å, c = 6.3011 Å
α = 64.19°, β = 64.19°, γ = 99.67°
Positions (direct):
Pd  0.1602  0.4253  0.2398
Pd  0.5747  0.8398  0.2602
Pd  0.7961  0.2039  0.2500
Pd  0.8398  0.5747  0.7602
Pd  0.4238  0.1578  0.1740
Pd  0.5762  0.8422  0.8260
Pd  0.1578  0.4238  0.6740
Pd  0.8422  0.5762  0.3260
Pd  0.4253  0.1602  0.7398
Pd  0.2039  0.7961  0.7500
Mn  0.5284  0.4716  0.2500
Mn  0.4716  0.5284  0.7500
Ga  0.0000  0.0000  0.5000
Ga  0.0000  0.0000  0.0000

Calculated values
ρ ... 9.213 g/cm³
Calculated formation energy ... -0.117 eV/atom

---

# 3
Compound: Zr4Cr3
Source: the Alexandria database
Functional: PBE-GGA
Structure: relaxed

a = 4.9878 Å, b = 4.9878 Å, c = 5.7451 Å
α = 90.00°, β = 90.00°, γ = 120.00°
Positions (direct):
Cr  0.5000  0.5000  0.0000
Cr  0.0000  0.5000  0.0000
Cr  0.5000  0.0000  0.0000
Zr  0.3333  0.6667  0.5000
Zr  0.0000  0.0000  0.2540
Zr  0.6667  0.3333  0.5000
Zr  0.0000  0.0000  0.7460

Calculated values
ρ ... 6.988 g/cm³
Calculated formation energy ... 0.117 eV/atom

---

# 4
Compound: NaTbSmCd
Source: the Alexandria database
Functional: PBE-GGA
Structure: relaxed

a = 5.4524 Å, b = 5.4524 Å, c = 5.4524 Å
α = 60.00°, β = 60.00°, γ = 60.00°
Positions (direct):
Tb  0.5000  0.5000  0.5000
Sm  0.0000  0.0000  0.0000
Na  0.2500  0.2500  0.2500
Cd  0.7500  0.7500  0.7500

Calculated values
ρ ... 6.442 g/cm³
Calculated formation energy ... 0.029 eV/atom

---

# 5
Compound: Ge2AuSe6
Source: the Alexandria database
Functional: PBE-GGA
Structure: relaxed

a = 6.8404 Å, b = 8.1984 Å, c = 8.1984 Å
α = 85.72°, β = 89.64°, γ = 89.64°
Positions (direct):
Se  0.5884  0.6114  0.1229
Se  0.8393  0.1906  0.0349
Se  0.1607  0.8094  0.9651
Se  0.1116  0.4890  0.2851
Se  0.4116  0.3886  0.8771
Se  0.0884  0.1229  0.6114
Se  0.6116  0.2851  0.4890
Se  0.8884  0.5110  0.7149
Se  0.9116  0.8771  0.3886
Se  0.3884  0.7149  0.5110
Se  0.6607  0.9651  0.8094
Se  0.3393  0.0349  0.1906
Ge  0.7147  0.7600  0.6153
Ge  0.7853  0.3847  0.2400
Ge  0.2853  0.2400  0.3847
Ge  0.2147  0.6153  0.7600
Au  0.2500  0.1110  0.8890
Au  0.7500  0.8890  0.1110

Calculated values
E_form (uncorrected) ... -0.0339 eV per atom
ρ ... 5.911 g/cm³

---

# 6
Compound: ScFe2Ni
Source: the Alexandria database
Functional: PBE-GGA
Structure: relaxed

a = 3.0293 Å, b = 3.0293 Å, c = 5.9830 Å
α = 90.00°, β = 90.00°, γ = 90.00°
Positions (direct):
Fe  0.0000  0.0000  0.0346
Fe  0.5000  0.5000  0.2432
Sc  0.5000  0.5000  0.7496
Ni  0.0000  0.0000  0.4726

Calculated values
ρ ... 6.513 g/cm³
Calculated formation energy ... -0.083 eV/atom

---

# 7
Compound: Tb2ThO
Source: the Alexandria database
Functional: PBE-GGA
Structure: relaxed

a = 3.4566 Å, b = 3.4566 Å, c = 9.7101 Å
α = 79.75°, β = 79.75°, γ = 60.00°
Positions (direct):
Tb  0.8808  0.8808  0.3577
Tb  0.1192  0.1192  0.6423
O  0.5000  0.5000  0.5000
Th  0.0000  0.0000  0.0000

Calculated values
E_form (uncorrected) ... -1.1695 eV per atom
ρ ... 9.556 g/cm³

---

# 8
Compound: TmMg2Hg5
Source: the Alexandria database
Functional: PBE-GGA
Structure: relaxed

a = 4.7607 Å, b = 4.7607 Å, c = 8.6610 Å
α = 105.95°, β = 105.95°, γ = 90.00°
Positions (direct):
Tm  0.0000  0.0000  0.0000
Mg  0.2445  0.2445  0.4890
Mg  0.7555  0.7555  0.5110
Hg  0.1342  0.6342  0.2684
Hg  0.5000  0.5000  0.0000
Hg  0.3658  0.8658  0.7316
Hg  0.6342  0.1342  0.2684
Hg  0.8658  0.3658  0.7316

Calculated values
ρ ... 11.206 g/cm³
Calculated formation energy ... -0.243 eV/atom

---

# 9
Compound: KHg2AsPd
Source: the Alexandria database
Functional: PBE-GGA
Structure: relaxed

a = 5.3380 Å, b = 5.3380 Å, c = 4.9738 Å
α = 90.00°, β = 90.00°, γ = 90.00°
Positions (direct):
Hg  0.0000  0.5000  0.0000
Hg  0.5000  0.0000  0.0000
K  0.5000  0.5000  0.5000
As  0.0000  0.0000  0.5000
Pd  0.0000  0.0000  0.0000

Calculated values
ρ ... 7.283 g/cm³
Calculated formation energy ... -0.123 eV/atom

---

# 10
Compound: Ti2PdPt2
Source: the Alexandria database
Functional: PBE-GGA
Structure: relaxed

a = 7.3660 Å, b = 7.3660 Å, c = 2.9964 Å
α = 90.00°, β = 90.00°, γ = 90.00°
Positions (direct):
Ti  0.6671  0.8329  0.5000
Ti  0.1671  0.6671  0.5000
Ti  0.8329  0.3329  0.5000
Ti  0.3329  0.1671  0.5000
Pt  0.8661  0.6339  0.0000
Pt  0.3661  0.8661  0.0000
Pt  0.1339  0.3661  0.0000
Pt  0.6339  0.1339  0.0000
Pd  0.0000  0.0000  0.0000
Pd  0.5000  0.5000  0.0000

Calculated values
ρ ... 12.100 g/cm³
Calculated formation energy ... -0.798 eV/atom

---

# 11
Compound: BaLaMgSn2
Source: the Alexandria database
Functional: PBE-GGA
Structure: relaxed

a = 6.0083 Å, b = 6.4364 Å, c = 6.0083 Å
α = 90.00°, β = 90.00°, γ = 90.00°
Positions (direct):
La  0.0000  0.0000  0.0000
Ba  0.0000  0.5000  0.0000
Mg  0.5000  0.5000  0.5000
Sn  0.0000  0.0000  0.5000
Sn  0.5000  0.0000  0.0000

Calculated values
ρ ... 3.845 g/cm³
Calculated formation energy ... 0.482 eV/atom

---

# 12
Compound: LaTbZnIn
Source: the Alexandria database
Functional: PBE-GGA
Structure: relaxed

a = 5.3663 Å, b = 5.3663 Å, c = 5.3663 Å
α = 60.00°, β = 60.00°, γ = 60.00°
Positions (direct):
In  0.0000  0.0000  0.0000
Zn  0.5000  0.5000  0.5000
La  0.7500  0.7500  0.7500
Tb  0.2500  0.2500  0.2500

Calculated values
ρ ... 7.265 g/cm³
Calculated formation energy ... -0.390 eV/atom

---

# 13
Compound: La4Pm8Nd
Source: the Alexandria database
Functional: PBE-GGA
Structure: relaxed

a = 14.7549 Å, b = 10.8157 Å, c = 12.0788 Å
α = 90.14°, β = 153.92°, γ = 111.26°
Positions (direct):
Pm  0.2302  0.1141  0.5233
Pm  0.6473  0.3228  0.3552
Pm  0.3239  0.9007  0.1490
Pm  0.6732  0.5752  0.8482
Pm  0.6761  0.0993  0.8510
Pm  0.3268  0.4248  0.1518
Pm  0.3527  0.6772  0.6448
Pm  0.7698  0.8859  0.4767
La  0.0000  0.5000  0.0000
La  0.5000  0.5000  0.0000
La  0.0000  0.0000  0.0000
La  0.5000  0.0000  0.0000
Nd  0.0000  0.5000  0.5000

Calculated values
ρ ... 6.528 g/cm³
Calculated formation energy ... 0.194 eV/atom

---

# 14
Compound: CuSiTeI2
Source: the Alexandria database
Functional: PBE-GGA
Structure: relaxed

a = 5.2736 Å, b = 5.2736 Å, c = 5.2959 Å
α = 90.00°, β = 90.00°, γ = 90.00°
Positions (direct):
Cu  0.0000  0.0000  0.0000
Si  0.5000  0.5000  0.5000
I  0.0000  0.5000  0.0000
I  0.5000  0.0000  0.0000
Te  0.0000  0.0000  0.5000

Calculated values
E_form (uncorrected) ... 0.6038 eV per atom
ρ ... 5.333 g/cm³

---

# 15
Compound: Nd3Y8Ho
Source: the Alexandria database
Functional: PBE-GGA
Structure: relaxed

a = 8.4426 Å, b = 8.4427 Å, c = 8.4426 Å
α = 94.76°, β = 117.29°, γ = 117.29°
Positions (direct):
Y  0.2518  0.3715  0.3715
Y  0.0000  0.6285  0.8803
Y  0.0000  0.2551  0.7666
Y  0.4885  0.2334  0.2334
Y  0.7482  0.1197  0.1197
Y  0.0000  0.8803  0.6285
Y  0.5115  0.7449  0.7449
Y  0.0000  0.7666  0.2551
Nd  0.5000  0.2500  0.7500
Nd  0.5000  0.7500  0.2500
Nd  0.0000  0.5000  0.5000
Ho  0.0000  0.0000  0.0000

Calculated values
ρ ... 4.925 g/cm³
Calculated formation energy ... 0.627 eV/atom

---

# 16
Compound: SrLaY2V
Source: the Alexandria database
Functional: PBE-GGA
Structure: relaxed

a = 5.8213 Å, b = 4.9967 Å, c = 5.8213 Å
α = 90.00°, β = 90.00°, γ = 90.00°
Positions (direct):
V  0.0000  0.5000  0.0000
La  0.0000  0.0000  0.0000
Y  0.5000  0.0000  0.0000
Y  0.0000  0.0000  0.5000
Sr  0.5000  0.5000  0.5000

Calculated values
ρ ... 4.465 g/cm³
Calculated formation energy ... 0.823 eV/atom

---

# 17
Compound: RbCrAg2Mo
Source: the Alexandria database
Functional: PBE-GGA
Structure: relaxed

a = 5.5101 Å, b = 4.2952 Å, c = 5.5101 Å
α = 90.00°, β = 90.00°, γ = 90.00°
Positions (direct):
Ag  0.5000  0.0000  0.0000
Ag  0.0000  0.0000  0.5000
Rb  0.5000  0.5000  0.5000
Mo  0.0000  0.0000  0.0000
Cr  0.0000  0.5000  0.0000

Calculated values
ρ ... 5.719 g/cm³
Calculated formation energy ... 1.142 eV/atom

---

# 18
Compound: ScInRh4
Source: the Alexandria database
Functional: PBE-GGA
Structure: relaxed

a = 2.8988 Å, b = 4.5214 Å, c = 7.8187 Å
α = 90.00°, β = 89.91°, γ = 90.00°
Positions (direct):
In  0.0016  0.9973  0.4981
Sc  0.5006  0.4973  0.9982
Rh  0.5005  0.9972  0.7956
Rh  0.0015  0.4973  0.2807
Rh  0.5026  0.9973  0.2007
Rh  0.0011  0.4973  0.7156

Calculated values
ρ ... 9.259 g/cm³
Calculated formation energy ... -0.231 eV/atom